## K3RbHf (GGA-PBE)

Data for an optimized crystal structure of K3RbHf.

Properties
ΔE to the lowest computed polymorph = 1.74 eV per formula unit
energy of formation from the pure elements = 31.30 kcal/mol of atoms

abc: 6.9537 6.9537 6.9537
angles: 90.00 90.00 90.00
Positions (direct):
K 0.0000 0.0000 0.5000
K 0.0000 0.5000 0.0000
K 0.5000 0.0000 0.0000
Rb 0.0000 0.0000 0.0000
Hf 0.5000 0.5000 0.5000

=====

## TeIrBr2 (GGA-PBE)

Data for an optimized crystal structure of TeIrBr2.

Properties
electronic total energy = -3.55 eV/atom

abc: 7.2236 7.2236 5.2694
angles: 111.31 111.31 26.39
Positions (direct):
Te 0.0000 0.0000 0.0000
Ir 0.5000 0.5000 0.5000
Br 0.1473 0.1473 0.6470
Br 0.8527 0.8527 0.3530

=====

## La3Sc2Zn3 (GGA-PBE)

Data for an optimized crystal structure of La3Sc2Zn3.

Properties
energy of formation from the pure elements = -5.01 kcal/mol of atoms

abc: 11.2039 11.2039 11.2039
angles: 161.38 152.53 33.39
Positions (direct):
La 0.0000 0.0000 0.0000
La 0.3770 0.8770 0.5000
La 0.6230 0.1230 0.5000
Sc 0.2346 0.2346 0.0000
Sc 0.7654 0.7654 0.0000
Zn 0.1323 0.6323 0.5000
Zn 0.5000 0.5000 0.0000
Zn 0.8677 0.3677 0.5000

=====

## Tb6Fe23 (GGA-PBE)

Data for an optimized crystal structure of Tb6Fe23.

Properties
energy of formation from the pure elements = -0.80 kcal/mol of atoms

abc: 8.5050 8.5050 8.5050
angles: 60.00 60.00 60.00
Positions (direct):
Tb 0.2096 0.2096 0.7904
Tb 0.2096 0.7904 0.2096
Tb 0.2096 0.7904 0.7904
Tb 0.7904 0.2096 0.2096
Tb 0.7904 0.2096 0.7904
Tb 0.7904 0.7904 0.2096
Fe 0.0000 0.0000 0.5000
Fe 0.0000 0.5000 0.0000
Fe 0.0000 0.5000 0.5000
Fe 0.1348 0.6217 0.6217
Fe 0.1760 0.1760 0.1760
Fe 0.1760 0.1760 0.4720
Fe 0.1760 0.4720 0.1760
Fe 0.3783 0.3783 0.3783
Fe 0.3783 0.3783 0.8652
Fe 0.3783 0.8652 0.3783
Fe 0.4720 0.1760 0.1760
Fe 0.5000 0.0000 0.0000
Fe 0.5000 0.0000 0.5000
Fe 0.5000 0.5000 0.0000
Fe 0.5000 0.5000 0.5000
Fe 0.5280 0.8240 0.8240
Fe 0.6217 0.1348 0.6217
Fe 0.6217 0.6217 0.1348
Fe 0.6217 0.6217 0.6217
Fe 0.8240 0.5280 0.8240
Fe 0.8240 0.8240 0.5280
Fe 0.8240 0.8240 0.8240
Fe 0.8652 0.3783 0.3783

=====

## PmPrTlGe (GGA-PBE)

Data for an optimized crystal structure of PmPrTlGe.

Properties
energy of formation from the pure elements = -10.54 kcal/mol of atoms

abc: 5.3746 5.3746 5.3746
angles: 60.00 60.00 60.00
Positions (direct):
Pm 0.0000 0.0000 0.0000
Pr 0.5000 0.5000 0.5000
Tl 0.7500 0.7500 0.7500
Ge 0.2500 0.2500 0.2500

=====

## Zr2MnHg (GGA-PBE)

Data for an optimized crystal structure of Zr2MnHg.

Properties
energy of formation from the pure elements = 1.02 kcal/mol of atoms

abc: 5.4530 5.4530 5.4530
angles: 134.92 134.92 65.65
Positions (direct):
Zr 0.0000 0.0000 0.0000
Zr 0.7500 0.2500 0.5000
Mn 0.5000 0.5000 0.0000
Hg 0.2500 0.7500 0.5000

=====

## Na2RhF6 (GGA-PBE)

Data for an optimized crystal structure of Na2RhF6.

Properties
electronic total energy = -4.51 eV/atom

abc: 5.0870 5.0870 10.1354
angles: 90.00 90.00 90.00
Positions (direct):
Na 0.0000 0.0000 0.1654
Na 0.0000 0.0000 0.8346
Na 0.5000 0.5000 0.3346
Na 0.5000 0.5000 0.6654
Rh 0.0000 0.0000 0.5000
Rh 0.5000 0.5000 0.0000
F 0.1838 0.1838 0.3571
F 0.1838 0.1838 0.6429
F 0.2304 0.2304 0.0000
F 0.2696 0.7304 0.5000
F 0.3162 0.6838 0.1429
F 0.3162 0.6838 0.8571
F 0.6838 0.3162 0.1429
F 0.6838 0.3162 0.8571
F 0.7304 0.2696 0.5000
F 0.7696 0.7696 0.0000
F 0.8162 0.8162 0.3571
F 0.8162 0.8162 0.6429

=====

## AcTlTeO6 (GGA-PBE)

Data for an optimized crystal structure of AcTlTeO6.

Properties
electronic total energy = -6.06 eV/atom

abc: 5.6167 5.6167 10.5479
angles: 90.00 90.00 120.00
Positions (direct):
Ac 0.0000 0.0000 0.0000
Ac 0.0000 0.0000 0.5000
Tl 0.3333 0.6667 0.2500
Tl 0.6667 0.3333 0.7500
Te 0.3333 0.6667 0.7500
Te 0.6667 0.3333 0.2500
O 0.0435 0.3862 0.6424
O 0.0435 0.6573 0.8576
O 0.3427 0.3862 0.8576
O 0.3427 0.9565 0.6424
O 0.3862 0.0435 0.1424
O 0.3862 0.3427 0.3576
O 0.6138 0.6573 0.6424
O 0.6138 0.9565 0.8576
O 0.6573 0.0435 0.3576
O 0.6573 0.6138 0.1424
O 0.9565 0.3427 0.1424
O 0.9565 0.6138 0.3576

=====

## BeCr2Bi (GGA-PBE)

Data for an optimized crystal structure of BeCr2Bi.

Properties
ΔE to the lowest computed polymorph = 0.00 eV per formula unit
energy of formation from the pure elements = 17.03 kcal/mol of atoms

abc: 4.4192 4.4192 4.4192
angles: 60.00 60.00 60.00
Positions (direct):
Be 0.0000 0.0000 0.0000
Cr 0.2500 0.2500 0.2500
Cr 0.7500 0.7500 0.7500
Bi 0.5000 0.5000 0.5000

=====

## MnAgPd3Au (GGA-PBE)

Data for an optimized crystal structure of MnAgPd3Au.

Properties
energy of formation from the pure elements = -2.05 kcal/mol of atoms

abc: 7.0835 7.0835 9.0847
angles: 126.70 126.70 34.36
Positions (direct):
Mn 0.1368 0.1368 0.3450
Mn 0.8632 0.8632 0.6550
Ag 0.2350 0.2350 0.0939
Ag 0.7650 0.7650 0.9061
Pd 0.0722 0.0722 0.6936
Pd 0.2856 0.2856 0.7206
Pd 0.3915 0.3915 0.4939
Pd 0.6085 0.6085 0.5061
Pd 0.7144 0.7144 0.2794
Pd 0.9278 0.9278 0.3064
Au 0.4583 0.4583 0.1135
Au 0.5417 0.5417 0.8865

=====

## MnRhSN2 (GGA-PBE)

Data for an optimized crystal structure of MnRhSN2.

Properties
ΔE to the lowest computed polymorph = 0.00 eV per formula unit

abc: 3.5390 3.5390 4.9685
angles: 90.00 90.00 90.00
Positions (direct):
Mn 0.0000 0.0000 0.0000
Rh 0.5000 0.5000 0.5000
S 0.0000 0.0000 0.5000
N 0.0000 0.5000 0.0000
N 0.5000 0.0000 0.0000

=====

## Ga2SbSeO (GGA-PBE)

Data for an optimized crystal structure of Ga2SbSeO.

Properties
electronic total energy = -3.70 eV/atom

abc: 5.2188 5.2188 3.7979
angles: 90.00 90.00 90.00
Positions (direct):
Ga 0.0000 0.5000 0.0000
Ga 0.5000 0.0000 0.0000
Sb 0.0000 0.0000 0.5000
Se 0.5000 0.5000 0.0000
O 0.5000 0.5000 0.5000

=====

## YAlAu4 (GGA-PBE)

Data for an optimized crystal structure of YAlAu4.

Properties
ΔE to the lowest computed polymorph = 1.04 eV per formula unit
energy of formation from the pure elements = -8.30 kcal/mol of atoms

abc: 5.5546 5.5546 5.5546
angles: 60.00 60.00 60.00
Positions (direct):
Y 0.0000 0.0000 0.0000
Al 0.7500 0.7500 0.7500
Au 0.3752 0.3752 0.3752
Au 0.3752 0.3752 0.8744
Au 0.3752 0.8744 0.3752
Au 0.8744 0.3752 0.3752

=====

## Zn2InAu (GGA-PBE)

Data for an optimized crystal structure of Zn2InAu.

Properties
energy of formation from the pure elements = -0.77 kcal/mol of atoms

abc: 4.7314 4.7314 3.5154
angles: 90.00 90.00 108.80
Positions (direct):
Zn 0.0000 0.5000 0.0000
Zn 0.5000 0.0000 0.0000
In 0.0000 0.0000 0.5000
Au 0.5000 0.5000 0.5000

=====

## Ca3TiPb3Se8 (GGA-PBE)

Data for an optimized crystal structure of Ca3TiPb3Se8.

Properties
electronic total energy = -4.74 eV/atom

abc: 8.5737 8.5737 8.5737
angles: 58.82 58.82 58.82
Positions (direct):
Ca 0.0000 0.5000 0.5000
Ca 0.5000 0.0000 0.5000
Ca 0.5000 0.5000 0.0000
Ti 0.0000 0.0000 0.0000
Pb 0.0000 0.0000 0.5000
Pb 0.0000 0.5000 0.0000
Pb 0.5000 0.0000 0.0000
Se 0.2196 0.2196 0.7750
Se 0.2196 0.7750 0.2196
Se 0.2250 0.7804 0.7804
Se 0.2554 0.2554 0.2554
Se 0.7446 0.7446 0.7446
Se 0.7750 0.2196 0.2196
Se 0.7804 0.2250 0.7804
Se 0.7804 0.7804 0.2250